First-principles (PBE-GGA) data for a geometry-optimized TmTlH structure, as listed in the Alexandria database.

Summary:
DOS at the Fermi energy = 3.36 states/eV per cell
relative energy among the computed polymorphs = 52 meV/atom

Cell and atoms, written as POSCAR:
```
TmTlH
1.0
3.593 0.000 0.000
0.000 3.593 0.000
0.000 0.000 8.888
Tl Tm H
2 2 2
direct
0.500 0.000 0.128
0.000 0.500 0.872
0.000 0.500 0.359
0.500 0.000 0.641
0.500 0.500 0.500
0.000 0.000 0.500
```